Record 1
VASP calculation (PBEsol) on an optimized crystal structure of MgTiCuP3O12.

Calculated values
**V**: 11.872 A^3/atom
**Crystal system**: trigonal
**Formation energy from raw total energies**: -2.1787 eV per atom

a = 8.5214 Å, b = 8.5214 Å, c = 20.3895 Å
α = 90.00°, β = 90.00°, γ = 120.00°
Space group R3c (No. 161, hexagonal axes)
Inequivalent atoms, fractional coordinates:
1 Mg 0.0000 0.0000 0.0000 x6
2 Ti 0.0000 0.0000 0.3545 x6
3 Cu 0.0000 0.0000 0.1396 x6
4 P 0.0001 0.2936 0.2463 x18
5 O 0.0031 0.1891 0.3079 x18
6 O 0.0136 0.1804 0.9234 x18
7 O 0.1429 0.4597 0.8505 x18
8 O 0.1733 0.4803 0.2383 x18

---

Record 2
VASP calculation (PBEsol) on an optimized crystal structure of Na3GaTe.

Calculated values
**V**: 38.510 A^3/atom
**Crystal system**: cubic
**Formation energy from raw total energies**: -0.0759 eV per atom

a = 5.7745 Å, b = 5.7745 Å, c = 5.7745 Å
α = 90.00°, β = 90.00°, γ = 90.00°
Space group Pm-3m (No. 221)
Inequivalent atoms, fractional coordinates:
1 Na 0.0000 0.0000 0.5000 x3
2 Ga 0.5000 0.5000 0.5000 x1
3 Te 0.0000 0.0000 0.0000 x1

---

Record 3
VASP calculation (PBEsol) on an optimized crystal structure of HfSiW3.

Calculated values
**V**: 20.963 A^3/atom
**Crystal system**: cubic
**Formation energy from raw total energies**: 2.7772 eV per atom

a = 4.7149 Å, b = 4.7149 Å, c = 4.7149 Å
α = 90.00°, β = 90.00°, γ = 90.00°
Space group Pm-3m (No. 221)
Inequivalent atoms, fractional coordinates:
1 Hf 0.0000 0.0000 0.0000 x1
2 Si 0.5000 0.5000 0.5000 x1
3 W 0.0000 0.0000 0.5000 x3

---

no.,energy (eV/atom)
1,-7.442
2,-2.289
3,-8.757